CaTc3B | PBE | optimized geometry

Structure (extended XYZ):
```
5
Lattice="4.6072 0.0000 0.0000 0.0000 4.6072 0.0000 0.0000 0.0000 4.6072" Properties=species:S:1:pos:R:3 pbc="T T T"
Ca 0.0000 0.0000 0.0000
Tc 0.0000 0.0000 2.3036
Tc 0.0000 2.3036 0.0000
Tc 2.3036 0.0000 0.0000
B 2.3036 2.3036 2.3036
```

* energy above the most stable polymorph in this dataset: 3050 meV/atom
* total magnetization: 4.12 μB per formula unit
* formation energy: 3.403 eV/atom
* symmetry: Pm-3m (221)

---

Ca2TcBTe | PBE | optimized geometry

Structure (extended XYZ):
```
5
Lattice="5.1843 0.0000 0.0000 0.0000 5.1843 0.0000 0.0000 0.0000 4.1162" Properties=species:S:1:pos:R:3 pbc="T T T"
Ca 0.0000 2.5921 0.0000
Ca 2.5921 0.0000 0.0000
Tc 0.0000 0.0000 2.0581
B 0.0000 0.0000 0.0000
Te 2.5921 2.5921 2.0581
```

* total magnetization: 0.48 μB per formula unit
* symmetry: P4/mmm (123)
* ΔE_f (raw): -0.195 eV per atom

---

CaTcBW2 | PBE | optimized geometry

Structure (extended XYZ):
```
5
Lattice="4.3328 0.0000 0.0000 0.0000 4.3328 0.0000 0.0000 0.0000 4.3146" Properties=species:S:1:pos:R:3 pbc="T T T"
Ca 0.0000 0.0000 0.0000
Tc 2.1664 2.1664 0.0000
B 2.1664 2.1664 2.1573
W 0.0000 2.1664 2.1573
W 2.1664 0.0000 2.1573
```

* total magnetization: 0.00 μB per formula unit
* formation energy: 0.563 eV/atom
* symmetry: P4/mmm (123)

---

CaBTe3 | PBE | optimized geometry

Structure (extended XYZ):
```
5
Lattice="5.8337 0.0000 0.0000 0.0000 5.8337 0.0000 0.0000 0.0000 5.8337" Properties=species:S:1:pos:R:3 pbc="T T T"
Ca 0.0000 0.0000 0.0000
B 2.9168 2.9168 2.9168
Te 0.0000 0.0000 2.9168
Te 0.0000 2.9168 0.0000
Te 2.9168 0.0000 0.0000
```

* energy above the most stable polymorph in this dataset: 999 meV/atom
* total magnetization: 0.00 μB per formula unit
* symmetry: Pm-3m (221)
* ΔE_f (raw): 1.040 eV per atom

---

CaBTe | PBE | optimized geometry

Structure (extended XYZ):
```
12
Lattice="11.5561 0.0000 0.0000 0.0000 3.6080 0.0000 -0.2085 0.0000 6.3813" Properties=species:S:1:pos:R:3 pbc="T T T"
Ca 1.5042 0.0000 1.3104
Ca 4.0654 1.8040 5.0709
Ca 7.2823 1.8040 1.3104
Ca 9.8435 0.0000 5.0709
B 0.3191 1.8040 5.7824
B 5.2506 0.0000 0.5989
B 6.0971 0.0000 5.7824
B 11.0286 1.8040 0.5989
Te 1.3790 0.0000 4.5464
Te 4.1906 1.8040 1.8349
Te 7.1571 1.8040 4.5464
Te 9.9687 0.0000 1.8349
```

* total magnetization: 0.00 μB per formula unit
* symmetry: C2/m (12)
* ΔE_f (raw): -0.241 eV per atom

---

CaBTe3 | PBE | optimized geometry

Structure (extended XYZ):
```
5
Lattice="5.0233 0.0000 0.0000 0.0000 5.0233 0.0000 0.0000 0.0000 5.0233" Properties=species:S:1:pos:R:3 pbc="T T T"
Ca 0.0000 0.0000 0.0000
B 2.5116 2.5116 2.5116
Te 0.0000 2.5116 2.5116
Te 2.5116 0.0000 2.5116
Te 2.5116 2.5116 0.0000
```

* energy above the most stable polymorph in this dataset: 0 meV/atom
* total magnetization: 0.00 μB per formula unit
* symmetry: Pm-3m (221)
* ΔE_f (raw): 0.041 eV per atom

---

Number 1: final energy -4.552 eV per atom. Number 2: final energy -5.033 eV per atom. Number 3: final energy -8.427 eV per atom. Number 4: final energy -2.581 eV per atom. Number 5: final energy -4.181 eV per atom. Number 6: final energy -3.580 eV per atom.